# 1
Here is Sn3Hg12I5 after structural relaxation from the Alexandria database. Energies are from PBE-GGA.

Geometry as POSCAR:
```
Sn3Hg12I5
1.0
15.9455 0.0000 0.0000
-5.3152 15.0336 0.0000
-5.3152 -7.5168 13.0195
Hg I Sn
48 20 12
Direct
0.8970 0.0619 0.6403
0.2567 0.8597 0.9216
0.1649 0.0619 0.9216
0.4216 0.7567 0.8597
0.6403 0.5619 0.8970
0.7567 0.4216 0.3597
0.0619 0.8970 0.1403
0.9216 0.3597 0.2567
0.8351 0.8970 0.2567
0.6649 0.4216 0.5619
0.9216 0.5619 0.1649
0.2433 0.5784 0.6403
0.2567 0.3970 0.8351
0.7567 0.3351 0.8970
0.7433 0.6030 0.1649
0.9381 0.1030 0.8597
0.0619 0.1649 0.4216
0.1403 0.3970 0.0619
0.4381 0.0784 0.3351
0.4381 0.3597 0.6030
0.1403 0.7433 0.5784
0.3970 0.2567 0.3351
0.3597 0.9216 0.7567
0.8597 0.6030 0.9381
0.1649 0.1030 0.7433
0.3970 0.1403 0.5619
0.5619 0.9216 0.6649
0.8351 0.9381 0.0784
0.5784 0.3351 0.9381
0.1030 0.1649 0.2433
0.5784 0.2433 0.1403
0.8597 0.2567 0.4216
0.6030 0.8597 0.4381
0.6403 0.0784 0.2433
0.2433 0.6649 0.1030
0.5619 0.6403 0.3970
0.6030 0.7433 0.6649
0.3351 0.7567 0.3970
0.9381 0.8351 0.5784
0.3597 0.4381 0.1030
0.4216 0.6649 0.0619
0.0784 0.6403 0.7433
0.7433 0.1403 0.0784
0.3351 0.5784 0.4381
0.6649 0.2433 0.6030
0.0784 0.4381 0.8351
0.1030 0.9381 0.3597
0.8970 0.8351 0.7567
0.5000 0.5000 0.5000
0.7500 0.1250 0.8750
0.2500 0.8750 0.1250
0.5000 0.0000 0.0000
0.5000 0.5000 0.0000
0.1250 0.7500 0.3750
0.6250 0.7500 0.8750
0.0000 0.5000 0.5000
0.0000 0.0000 0.0000
0.0000 0.5000 0.0000
0.0000 0.0000 0.5000
0.6250 0.8750 0.2500
0.5000 0.0000 0.5000
0.1250 0.3750 0.2500
0.8750 0.2500 0.6250
0.3750 0.1250 0.7500
0.3750 0.2500 0.1250
0.7500 0.6250 0.3750
0.2500 0.3750 0.6250
0.8750 0.6250 0.7500
0.6250 0.2500 0.3750
0.8750 0.7500 0.1250
0.7500 0.8750 0.6250
0.3750 0.7500 0.6250
0.8750 0.1250 0.2500
0.6250 0.3750 0.7500
0.2500 0.1250 0.3750
0.2500 0.6250 0.8750
0.1250 0.8750 0.7500
0.1250 0.2500 0.8750
0.7500 0.3750 0.1250
0.3750 0.6250 0.2500
```

Results
E_tot: -1.1422 eV/atom


# 2
Here is Ac2Tb2Y3 after structural relaxation from the Alexandria database. Energies are from PBE-GGA.

Geometry as POSCAR:
```
Ac2Tb2Y3
1.0
3.6707 0.0000 0.0000
0.0000 6.3976 -1.0434
0.0000 1.8025 10.8539
Y Ac Tb
3 2 2
Direct
0.0000 0.0000 0.0000
0.0000 0.7498 0.5011
0.0000 0.2502 0.4989
0.0000 0.5006 0.8121
0.0000 0.4994 0.1879
0.5000 0.9988 0.2722
0.5000 0.0012 0.7278
```

Results
E_tot: -5.0469 eV/atom